DFT (PBE) results for a relaxed Ca3Zn3Ag8 crystal.

```
Ca3Zn3Ag8
1.0
4.446 0.000 1.218
1.683 7.996 2.581
0.048 0.559 8.551
Ag Zn Ca
8 3 3
Cartesian
2.301 3.150 9.049
3.876 5.404 3.300
5.070 6.850 7.665
4.600 4.709 9.383
1.107 1.705 4.685
3.238 7.413 5.628
1.578 3.846 2.966
2.939 1.142 6.721
1.326 6.374 3.883
2.223 0.000 0.609
0.405 2.181 7.249
3.917 1.666 3.149
3.089 4.277 6.175
2.260 6.888 9.200
```

Summary:
The formation energy comes out at -204 meV per atom. The crystal system is orthorhombic. The density of states at the Fermi level comes out at 4.0 states/eV/cell. The space-group type is Immm.